# VBiI2O, relaxed, DFT GGA+U
# - space group = P4/mmm
# - polymorph energy (0 for the lowest one) (meV per atom) = 0
# - total moment (μB per cell) = 0.03
data_VBiI2O
_chemical_formula_sum 'V1 Bi1 I2 O1'
_cell_length_a 6.0242
_cell_length_b 6.0242
_cell_length_c 3.6953
_cell_angle_alpha 90.00
_cell_angle_beta 90.00
_cell_angle_gamma 90.00
_space_group_name_H-M_alt 'P 1'
_space_group_IT_number 1
loop_
_space_group_symop_operation_xyz
'x,y,z'
loop_
_atom_site_label
_atom_site_fract_x
_atom_site_fract_y
_atom_site_fract_z
I1 0.0000 0.5000 0.0000
I2 0.5000 0.0000 0.0000
Bi1 0.5000 0.5000 0.5000
O1 0.0000 0.0000 0.5000
V1 0.0000 0.0000 0.0000